# 1
K2AgMo | the Alexandria database | PBE | optimized geometry; ΔE to the lowest computed polymorph = 318 meV per atom; total energy = -2.755 eV per atom; N(E_F) = 1.2 states/eV per cell; theoretical density = 3.246 g/cm³
1.0
0.000 4.163 4.163
4.163 0.000 4.163
4.163 4.163 0.000
K Ag Mo
2 1 1
Direct
0.250 0.250 0.250 K
0.750 0.750 0.750 K
0.000 0.000 0.000 Ag
0.500 0.500 0.500 Mo


# 2
LiAl5 | the Alexandria database | PBE | optimized geometry; ΔE to the lowest computed polymorph = 19 meV per atom; total energy = -3.478 eV per atom; N(E_F) = 1.9 states/eV per cell; theoretical density = 2.377 g/cm³
1.0
2.791 0.000 0.000
0.000 2.791 0.000
0.000 0.000 12.721
Li Al
1 5
Direct
0.000 0.000 0.000 Li
0.000 0.000 0.331 Al
0.000 0.000 0.669 Al
0.500 0.500 0.166 Al
0.500 0.500 0.500 Al
0.500 0.500 0.834 Al


# 3
K2RbCu2Cl7 | the Alexandria database | PBE | optimized geometry; total energy = -3.254 eV per atom; raw formation energy = -1.231 eV/atom; N(E_F) = 3.8 states/eV per cell; theoretical density = 2.955 g/cm³
1.0
3.471 -3.471 0.000
3.471 3.471 0.000
-3.460 0.000 12.567
K Rb Cu Cl
2 1 2 7
Direct
0.181 0.181 0.362 K
0.819 0.819 0.638 K
0.000 0.000 0.000 Rb
0.404 0.404 0.805 Cu
0.596 0.596 0.195 Cu
0.095 0.595 0.191 Cl
0.308 0.308 0.615 Cl
0.405 0.905 0.809 Cl
0.500 0.500 0.000 Cl
0.595 0.095 0.191 Cl
0.692 0.692 0.385 Cl
0.905 0.405 0.809 Cl


Repeat the second record exactly.
LiAl5 | the Alexandria database | PBE | optimized geometry; ΔE to the lowest computed polymorph = 19 meV per atom; total energy = -3.478 eV per atom; N(E_F) = 1.9 states/eV per cell; theoretical density = 2.377 g/cm³
1.0
2.791 0.000 0.000
0.000 2.791 0.000
0.000 0.000 12.721
Li Al
1 5
Direct
0.000 0.000 0.000 Li
0.000 0.000 0.331 Al
0.000 0.000 0.669 Al
0.500 0.500 0.166 Al
0.500 0.500 0.500 Al
0.500 0.500 0.834 Al


- Number 2 is which compound?
  LiAl5


- Which formula does entry 3 have?
  K2RbCu2Cl7